No. 1
Here is a relaxed structure of NaHfSc2 from the Alexandria database. Energies are from PBE-GGA.

abc: 5.172 5.172 5.172
angles: 60.00 60.00 60.00
Each line ends with the local moment (μB).
Sites, in units of the cell vectors:
Sc: 0.250 0.250 0.250  0.22
Sc: 0.750 0.750 0.750  0.22
Na: 0.000 0.000 0.000  0.00
Hf: 0.500 0.500 0.500  0.55

Summary:
Energy above the most stable polymorph in this dataset ... 31 kJ/mol of formula units
Calculated formation energy ... 0.52 eV/atom

---

No. 2
Here is a relaxed structure of Sr4AsPO from the Alexandria database. Energies are from PBE-GGA.

abc: 4.847 4.847 8.885
angles: 105.83 105.83 90.00
Sites, in units of the cell vectors:
Sr: 0.999 0.499 0.997
Sr: 0.499 0.999 0.997
Sr: 0.830 0.830 0.659
Sr: 0.182 0.182 0.365
As: 0.637 0.637 0.274
P: 0.366 0.366 0.733
O: 0.987 0.987 0.975

Summary:
ΔE_f (raw) ... -1.58 eV per atom

---

No. 3
Here is a relaxed structure of CuTcPd6 from the Alexandria database. Energies are from PBE-GGA.

abc: 3.922 3.922 7.755
angles: 90.00 90.00 90.00
Each line ends with the local moment (μB).
Sites, in units of the cell vectors:
Cu: 0.000 0.000 0.000  0.00
Tc: 0.000 0.000 0.500  0.93
Pd: 0.500 0.500 0.000  0.03
Pd: 0.500 0.500 0.500  0.07
Pd: 0.500 0.000 0.252  0.04
Pd: 0.500 0.000 0.748  0.04
Pd: 0.000 0.500 0.252  0.04
Pd: 0.000 0.500 0.748  0.04

Summary:
Calculated formation energy ... 0.00 eV/atom

---

No. 4
Here is a relaxed structure of Ta2AgRh from the Alexandria database. Energies are from PBE-GGA.

abc: 3.445 3.445 5.745
angles: 90.00 90.00 90.00
Sites, in units of the cell vectors:
Ta: 0.000 0.000 0.739
Ta: 0.000 0.000 0.261
Ag: 0.500 0.500 0.000
Rh: 0.500 0.500 0.500

Summary:
Calculated formation energy ... 0.14 eV/atom

---

No. 5
Here is a relaxed structure of SrCd2H from the Alexandria database. Energies are from PBE-GGA.

abc: 6.606 6.606 6.510
angles: 59.51 59.51 90.00
Sites, in units of the cell vectors:
Sr: 0.000 0.000 0.000
Sr: 0.750 0.250 0.500
H: 0.500 0.500 0.000
H: 0.250 0.750 0.500
Cd: 0.419 0.125 0.250
Cd: 0.331 0.625 0.250
Cd: 0.375 0.581 0.750
Cd: 0.875 0.669 0.750

Summary:
Energy above the most stable polymorph in this dataset ... 0 kJ/mol of formula units

---

No. 6
Here is a relaxed structure of YMgCu3 from the Alexandria database. Energies are from PBE-GGA.

abc: 5.117 5.117 9.486
angles: 90.00 90.00 120.00
Sites, in units of the cell vectors:
Y: 0.000 0.000 0.000
Y: 0.000 0.000 0.500
Mg: 0.667 0.333 0.750
Mg: 0.333 0.667 0.250
Cu: 0.174 0.826 0.750
Cu: 0.826 0.174 0.250
Cu: 0.652 0.826 0.750
Cu: 0.348 0.174 0.250
Cu: 0.174 0.348 0.750
Cu: 0.826 0.652 0.250

Summary:
Energy above the most stable polymorph in this dataset ... 84 kJ/mol of formula units
Calculated formation energy ... 0.12 eV/atom

---

No. 7
Here is a relaxed structure of Y4Ho4Tm3 from the Alexandria database. Energies are from PBE-GGA.

abc: 3.523 11.154 10.774
angles: 121.18 99.41 90.00
Sites, in units of the cell vectors:
Y: 0.780 0.280 0.559
Y: 0.220 0.720 0.441
Y: 0.500 0.795 0.000
Y: 0.500 0.205 0.000
Ho: 0.670 0.427 0.340
Ho: 0.330 0.087 0.660
Ho: 0.330 0.573 0.660
Ho: 0.670 0.913 0.340
Tm: 0.891 0.891 0.782
Tm: 0.109 0.109 0.218
Tm: 0.000 0.500 0.000

Summary:
Energy above the most stable polymorph in this dataset ... 142 kJ/mol of formula units
Calculated formation energy ... 0.20 eV/atom

---

No. 8
Here is a relaxed structure of ZrAsBr3 from the Alexandria database. Energies are from PBE-GGA.

abc: 5.396 5.396 5.396
angles: 90.00 90.00 90.00
Each line ends with the local moment (μB).
Sites, in units of the cell vectors:
Zr: 0.000 0.000 0.000  -0.34
As: 0.500 0.500 0.500  -1.22
Br: 0.000 0.500 0.000  -0.04
Br: 0.000 0.000 0.500  -0.04
Br: 0.500 0.000 0.000  -0.04

Summary:
ΔE_f (raw) ... -0.31 eV per atom